A plane-wave DFT calculation with GGA-PBE was carried out for TaP2Pb after structural relaxation.

The structure in extended XYZ format:
```
4
Lattice="-1.7703 -1.8336 -6.9895 -2.9885 -5.4997 -4.0214 0.2156 4.7668 5.7079" Properties=species:S:1:pos:R:3 pbc="T T T"
P -4.4066 -6.7905 -10.1958
P -2.4825 -2.0555 -1.6928
Pb -2.6066 -4.0167 -6.0310
Ta -2.1858 -0.7038 -3.8996
```

## Properties
As for the formation energy: -0.132 eV/atom. The calculation puts the total energy at -26.9 eV/f.u. As for the space group: Imm2.